Crystalline HoTaCuRu at its relaxed geometry. Source: Alexandria, functional GGA-PBE.

Structure (POSCAR):
```
HoTaCuRu
1.0
0.000 3.276 3.276
3.276 0.000 3.276
3.276 3.276 0.000
Ho Ta Cu Ru
1 1 1 1
direct
0.000 0.000 0.000
0.500 0.500 0.500
0.750 0.750 0.750
0.250 0.250 0.250
```

## Properties
Its formation energy from the elements is -78.7 meV/atom. The space-group type is F-43m (216).